No. 1
CaGePbCl6, optimized geometry, DFT PBE-GGA; formation energy from raw total energies = -12.8 eV per formula unit; space group = P4_2nm
1.0
6.548 0.000 0.000
0.000 6.548 0.000
0.000 0.000 12.653
Ca Ge Pb Cl
2 2 2 12
Direct
0.500 0.500 0.499
0.000 0.000 0.999
0.500 0.500 0.832
0.000 0.000 0.332
0.500 0.500 0.167
0.000 0.000 0.667
0.201 0.799 0.490
0.799 0.201 0.490
0.299 0.299 0.990
0.701 0.701 0.990
0.186 0.814 0.171
0.814 0.186 0.171
0.314 0.314 0.671
0.686 0.686 0.671
0.794 0.206 0.840
0.206 0.794 0.840
0.706 0.706 0.340
0.294 0.294 0.340

=====

No. 2
K2LaNb5O15, optimized geometry, DFT PBE-GGA; formation energy from raw total energies = -61.2 eV per formula unit; space group = P4/mbm
1.0
-4.286 -4.280 -11.288
-11.137 -3.220 5.449
-1.445 3.610 -0.820
K La Nb O
4 2 10 30
Direct
0.671 0.171 0.500
0.329 0.829 0.500
0.829 0.671 0.500
0.171 0.329 0.500
0.500 0.500 0.500
0.000 0.000 0.500
0.714 0.424 0.000
0.424 0.286 0.000
0.000 0.500 0.000
0.576 0.714 0.000
0.786 0.924 0.000
0.214 0.076 0.000
0.924 0.214 0.000
0.286 0.576 0.000
0.076 0.786 0.000
0.500 0.000 0.000
0.633 0.560 0.000
0.867 0.060 0.000
0.421 0.308 0.500
0.560 0.367 0.000
0.216 0.716 0.000
0.501 0.157 0.000
0.157 0.499 0.000
0.657 0.001 0.000
0.284 0.216 0.000
0.843 0.501 0.000
0.343 0.999 0.000
0.133 0.940 0.000
0.367 0.440 0.000
0.192 0.079 0.500
0.716 0.784 0.000
0.999 0.657 0.000
0.579 0.692 0.500
0.692 0.421 0.500
0.000 0.500 0.500
0.060 0.133 0.000
0.079 0.808 0.500
0.921 0.192 0.500
0.308 0.579 0.500
0.440 0.633 0.000
0.001 0.343 0.000
0.784 0.284 0.000
0.808 0.921 0.500
0.940 0.867 0.000
0.500 0.000 0.500
0.499 0.843 0.000

=====

No. 3
BeHg3, optimized geometry, DFT PBE-GGA; relative energy among the computed polymorphs = 8.97 kJ/mol of atoms; ΔH_f (0 K) = 310 meV/atom; space group = C2/m
1.0
3.559 0.028 0.048
1.958 2.972 0.048
1.740 0.946 8.120
Be Hg
1 3
Direct
0.000 0.000 0.000
0.500 0.500 0.500
0.738 0.738 0.805
0.262 0.262 0.195

=====

What did the third record say?
BeHg3, optimized geometry, DFT PBE-GGA; relative energy among the computed polymorphs = 8.97 kJ/mol of atoms; ΔH_f (0 K) = 310 meV/atom; space group = C2/m
1.0
3.559 0.028 0.048
1.958 2.972 0.048
1.740 0.946 8.120
Be Hg
1 3
Direct
0.000 0.000 0.000
0.500 0.500 0.500
0.738 0.738 0.805
0.262 0.262 0.195

=====

Number 1 is which compound?
CaGePbCl6

=====

Repeat the third record exactly.
BeHg3, optimized geometry, DFT PBE-GGA; relative energy among the computed polymorphs = 8.97 kJ/mol of atoms; ΔH_f (0 K) = 310 meV/atom; space group = C2/m
1.0
3.559 0.028 0.048
1.958 2.972 0.048
1.740 0.946 8.120
Be Hg
1 3
Direct
0.000 0.000 0.000
0.500 0.500 0.500
0.738 0.738 0.805
0.262 0.262 0.195